BaCoSb2O8: relaxed, PBE with a Hubbard U.

a = 5.126 Å, b = 5.190 Å, c = 6.487 Å
α = 92.97°, β = 90.83°, γ = 96.54°
Atoms (fractional coordinates):
Ba  0.000  0.000  0.000
Co  0.000  0.000  0.500
Sb  0.494  0.495  0.741
Sb  0.506  0.505  0.259
O  0.213  0.197  0.693
O  0.278  0.172  0.290
O  0.303  0.660  0.500
O  0.307  0.624  0.006
O  0.693  0.376  0.994
O  0.697  0.340  0.500
O  0.722  0.828  0.710
O  0.787  0.803  0.307

Output
- total magnetic moment (μB/f.u.) = 5.02
- electronic total energy (eV/atom) = -5.809